Compound: ReMoF3
Source: Alexandria
Functional: PBE+U
Structure: optimized geometry

Properties
As for the density: 7.25 g/cm3. The crystal system is cubic. The energy above the most stable polymorph in this dataset is 0.00 kJ per mole of atoms.

Unit cell a=4.267 b=4.267 c=4.267 alpha=90.00 beta=90.00 gamma=90.00
Space group Pm-3m (No. 221)
Inequivalent atoms, fractional coordinates:
Re  0.000  0.000  0.000 [1 per cell]
Mo  0.500  0.500  0.500 [1 per cell]
F  0.000  0.000  0.500 [3 per cell]